The following is a DFT calculation (PBE) of a relaxed structure of La2DyTl2Ag2.

volume: 27.9 Å³/atom
N(E_F): 18.62 states/eV/cell
VASP energy: -3.78 eV per atom
energy relative to the elements: -21.2 kJ/mol of atoms

```
data_La2DyTl2Ag2
_chemical_formula_sum 'La6 Dy3 Tl6 Ag6'
_space_group_name_H-M_alt 'R -3 m'
_space_group_IT_number 166
_space_group_name_Hall '-R 3 2"'
_cell_length_a 4.9273
_cell_length_b 4.9273
_cell_length_c 27.8221
_cell_angle_alpha 90.00
_cell_angle_beta 90.00
_cell_angle_gamma 120.00
loop_
_atom_site_label
_atom_site_type_symbol
_atom_site_fract_x
_atom_site_fract_y
_atom_site_fract_z
La1 La 0.0000 0.0000 0.1253
Dy1 Dy 0.0000 0.0000 0.0000
Tl1 Tl 0.0000 0.0000 0.2652
Ag1 Ag 0.0000 0.0000 0.3876
```